The following is a PBE calculation of a relaxed Na3Hg crystal, from Alexandria via LeMat-Bulk.

As for the electronic total energy: -1.21 eV per atom. As for the total magnetic moment: 0.00 μB per cell. For the formation enthalpy at 0 K, the calculation gives -0.147 eV/atom.

Cell lengths 6.9542, 6.9542, 5.5368 Å; angles 90.00, 90.00, 120.00 degrees
Sites, in units of the cell vectors:
Na 0.1735 0.3470 0.2500
Na 0.1735 0.8265 0.2500
Na 0.3470 0.1735 0.7500
Na 0.6530 0.8265 0.2500
Na 0.8265 0.1735 0.7500
Na 0.8265 0.6530 0.7500
Hg 0.3333 0.6667 0.7500
Hg 0.6667 0.3333 0.2500